# CrCoPdF6 | Alexandria | PBE+U | relaxed
data_CrCoPdF6
_chemical_formula_sum 'Cr2 Co2 Pd2 F12'
_space_group_name_H-M_alt 'P -3 1 c'
_space_group_IT_number 163
_space_group_name_Hall '-P 3 2c'
_cell_length_a 5.3669
_cell_length_b 5.3669
_cell_length_c 9.8544
_cell_angle_alpha 90.00
_cell_angle_beta 90.00
_cell_angle_gamma 120.00
loop_
_atom_site_label
_atom_site_fract_x
_atom_site_fract_y
_atom_site_fract_z
Cr1 0.3333 0.6667 0.2500
Co1 0.3333 0.6667 0.7500
Pd1 0.0000 0.0000 0.0000
F1 0.0174 0.3702 0.1414
# DFT total energy (eV/atom): -5.11
# Volume (Å³/f.u.): 122.91